CoGeTeO: optimized geometry, PBE with a Hubbard U.

a b c (Å): 5.7749 6.0524 17.2109
angles (deg): 90.00 90.00 90.00
Site moments in Bohr magnetons follow the coordinates.
Fractional coordinates of all 32 atoms:
Te 0.2527 0.0986 0.9460  0.04
Te 0.7473 0.5986 0.5540  0.04
Te 0.7473 0.9014 0.0540  0.04
Te 0.2473 0.9014 0.4460  0.04
Te 0.2473 0.5986 0.9460  0.04
Te 0.7527 0.0986 0.5540  0.04
Te 0.2527 0.4014 0.4460  0.04
Te 0.7527 0.4014 0.0540  0.04
O 0.0665 0.2522 0.2771  0.12
O 0.4335 0.7478 0.7771  0.12
O 0.0665 0.2478 0.7771  0.12
O 0.9335 0.7478 0.7229  0.12
O 0.4335 0.7522 0.2771  0.12
O 0.5665 0.2478 0.7229  0.12
O 0.9335 0.7522 0.2229  0.12
O 0.5665 0.2522 0.2229  0.12
Ge 0.6531 0.7168 0.8678  -0.02
Ge 0.1531 0.7832 0.1322  -0.02
Ge 0.1531 0.7168 0.6322  -0.01
Ge 0.8469 0.2168 0.8678  -0.02
Ge 0.3469 0.2832 0.1322  -0.02
Ge 0.3469 0.2168 0.6322  -0.01
Ge 0.8469 0.2832 0.3678  -0.01
Ge 0.6531 0.7832 0.3678  -0.01
Co 0.3662 0.4227 0.2966  2.53
Co 0.8662 0.4227 0.2034  2.53
Co 0.6338 0.9227 0.2034  2.54
Co 0.1338 0.9227 0.2966  2.54
Co 0.6338 0.5773 0.7034  2.53
Co 0.1338 0.5773 0.7966  2.53
Co 0.3662 0.0773 0.7966  2.54
Co 0.8662 0.0773 0.7034  2.54

- electronic total energy (eV/atom) = -4.7549
- space-group type = Pbca, No. 61